AcMnReO6 after structural relaxation. Source: Alexandria, functional PBE with a Hubbard U.

Cell: 5.8314 5.8314 8.3466 Å, 90.00 90.00 120.00°
Element x y z (fractional)
Ac1 0.3333 0.6667 0.2500
Ac2 0.6667 0.3333 0.7500
Mn1 0.0000 0.0000 0.0000
Mn2 0.0000 0.0000 0.5000
Re1 0.3333 0.6667 0.7500
Re2 0.6667 0.3333 0.2500
O1 0.0782 0.3835 0.6215
O2 0.0782 0.6947 0.8785
O3 0.3053 0.3835 0.8785
O4 0.3053 0.9218 0.6215
O5 0.3835 0.0782 0.1215
O6 0.3835 0.3053 0.3785
O7 0.6165 0.6947 0.6215
O8 0.6165 0.9218 0.8785
O9 0.6947 0.0782 0.3785
O10 0.6947 0.6165 0.1215
O11 0.9218 0.3053 0.1215
O12 0.9218 0.6165 0.3785

## Properties
E_tot (eV per formula unit): -72.20